CdRe3Ni | PBE-GGA | relaxed

```
CdRe3Ni
1.0
4.760 0.000 0.000
0.000 4.760 0.000
0.000 0.000 4.760
Cd Re Ni
1 3 1
Direct
0.000 0.000 0.000 Cd
0.000 0.000 0.500 Re
0.000 0.500 0.000 Re
0.500 0.000 0.000 Re
0.500 0.500 0.500 Ni
```

Summary:
Space-group type = Pm-3m (221)
E above lowest polymorph = 8.65 eV/f.u.
DFT total energy = -5.34 eV/atom
Fermi-level density of states = 10.733 states/eV/f.u.
Total moment = 0.03 μB/f.u.
Calculated formation energy = 3.472 eV/atom